No. 1
The following is a DFT calculation (GGA-PBE) of a relaxed HoInAg2 crystal.

Its density of states at the Fermi level is 9.52 states/eV/cell. The calculation puts the formation energy at -0.357 eV per atom. The total moment is 0.00 μB per cell. The total energy comes out at -3.611 eV/atom.

It has space group Fm-3m (No. 225), with a = 6.979 Å, b = 6.979 Å, c = 6.979 Å, α = 90.00°, β = 90.00° and γ = 90.00°. The distinct sites, in fractional coordinates, are Ho at (0.000, 0.000, 0.000), In at (0.000, 0.000, 0.500) and Ag at (0.250, 0.250, 0.250).


No. 2
The following is a DFT calculation (GGA-PBE) of a relaxed Pa2SbRu2 crystal.

Its density of states at the Fermi level is 10.56 states/eV/cell. The total moment is 0.00 μB per cell. The total energy comes out at -8.962 eV/atom. The value obtained for the formation energy from raw total energies is -0.6288 eV per atom.

It has space group P4/mbm (No. 127), with a = 7.603 Å, b = 7.603 Å, c = 3.611 Å, α = 90.00°, β = 90.00° and γ = 90.00°. The distinct sites, in fractional coordinates, are Pa at (0.170, 0.330, 0.000), Sb at (0.000, 0.000, 0.500) and Ru at (0.135, 0.635, 0.500).


No. 3
The following is a DFT calculation (GGA-PBE) of a relaxed Ag6Hg2Pd crystal.

Its density of states at the Fermi level is 4.99 states/eV/cell. The calculation puts the formation energy at 0.032 eV per atom. The total moment is 0.00 μB per cell. The total energy comes out at -2.513 eV/atom.

It has space group C2/m (No. 12), with a = 6.661 Å, b = 13.363 Å, c = 4.040 Å, α = 90.00°, β = 107.09° and γ = 90.00°. The distinct sites, in fractional coordinates, are Ag at (0.164, 0.000, 0.331), Ag at (0.165, 0.156, 0.833), Hg at (0.000, 0.344, 0.500) and Pd at (0.000, 0.500, 0.000).


No. 4
The following is a DFT calculation (GGA-PBE) of a relaxed LiThGa3 crystal.

Its density of states at the Fermi level is 3.27 states/eV/cell. The calculation puts the formation energy at -0.427 eV per atom. The total moment is 0.00 μB per cell. The total energy comes out at -4.110 eV/atom.

It has space group I4mm (No. 107), with a = 4.268 Å, b = 4.268 Å, c = 10.507 Å, α = 90.00°, β = 90.00° and γ = 90.00°. The distinct sites, in fractional coordinates, are Li at (0.000, 0.000, 0.000), Th at (0.000, 0.000, 0.627), Ga at (0.000, 0.000, 0.228) and Ga at (0.000, 0.500, 0.380).


No. 5
The following is a DFT calculation (GGA-PBE) of a relaxed InAg2Sn2 crystal.

Its density of states at the Fermi level is 4.05 states/eV/cell. The calculation puts the formation energy at 0.111 eV per atom. The total moment is 0.00 μB per cell. The total energy comes out at -3.179 eV/atom.

It has space group I4/mmm (No. 139), with a = 4.330 Å, b = 4.330 Å, c = 13.373 Å, α = 90.00°, β = 90.00° and γ = 90.00°. The distinct sites, in fractional coordinates, are In at (0.000, 0.000, 0.000), Ag at (0.000, 0.500, 0.250) and Sn at (0.000, 0.000, 0.390).


No. 6
The following is a DFT calculation (GGA-PBE) of a relaxed Ca3BO5 crystal.

Its density of states at the Fermi level is 21.09 states/eV/cell. The total moment is 4.04 μB per cell. The total energy comes out at -6.818 eV/atom. The value obtained for the formation energy from raw total energies is -2.6545 eV per atom.

It has space group I4/mcm (No. 140), with a = 6.455 Å, b = 6.455 Å, c = 9.925 Å, α = 90.00°, β = 90.00° and γ = 90.00°. The distinct sites, in fractional coordinates, are Ca at (0.000, 0.000, 0.250), Ca at (0.181, 0.319, 0.000), B at (0.000, 0.500, 0.250), O at (0.000, 0.000, 0.000) and O at (0.129, 0.371, 0.342).


No. 7
The following is a DFT calculation (GGA-PBE) of a relaxed Ba2TlSe crystal.

Its density of states at the Fermi level is 3.67 states/eV/cell. The total moment is 0.00 μB per cell. The total energy comes out at -3.461 eV/atom. The value obtained for the formation energy from raw total energies is -1.0365 eV per atom.

It has space group P4/mmm (No. 123), with a = 4.014 Å, b = 4.014 Å, c = 9.016 Å, α = 90.00°, β = 90.00° and γ = 90.00°. The distinct sites, in fractional coordinates, are Ba at (0.000, 0.000, 0.217), Tl at (0.500, 0.500, 0.500) and Se at (0.500, 0.500, 0.000).


No. 8
The following is a DFT calculation (GGA-PBE) of a relaxed Nd6Er4Tm crystal.

Its density of states at the Fermi level is 32.58 states/eV/cell. The calculation puts the formation energy at 0.301 eV per atom. The total moment is 0.00 μB per cell. The total energy comes out at -4.366 eV/atom.

It has space group I-42m (No. 121), with a = 6.749 Å, b = 6.749 Å, c = 16.600 Å, α = 90.00°, β = 90.00° and γ = 90.00°. The distinct sites, in fractional coordinates, are Nd at (0.000, 0.500, 0.000), Nd at (0.191, 0.191, 0.177), Er at (0.177, 0.177, 0.383) and Tm at (0.000, 0.000, 0.000).